Record 1
The following is a DFT calculation (PBE) of a geometry-optimized V4Ga2Fe structure.

Unit cell a=7.264 b=7.264 c=7.264 alpha=146.55 beta=146.55 gamma=48.04
Positions (direct):
V 0.000 0.500 0.500
V 0.169 0.169 0.000
V 0.500 0.000 0.500
V 0.831 0.831 0.000
Ga 0.363 0.363 0.000
Ga 0.637 0.637 0.000
Fe 0.000 0.000 0.000

formation energy	0.5425	eV per atom
SG	I4/mmm

=====

Record 2
The following is a DFT calculation (PBE) of a geometry-optimized Pu2TaSi4Pt3 structure.

Unit cell a=4.180 b=4.180 c=10.306 alpha=90.00 beta=90.00 gamma=90.00
Positions (direct):
Pu 0.000 0.500 0.244
Pu 0.500 0.000 0.756
Ta 0.000 0.000 0.500
Si 0.000 0.000 0.000
Si 0.000 0.500 0.647
Si 0.500 0.000 0.353
Si 0.500 0.500 0.000
Pt 0.000 0.500 0.881
Pt 0.500 0.000 0.119
Pt 0.500 0.500 0.500

SG	P-4m2

=====

Record 3
The following is a DFT calculation (PBE) of a geometry-optimized CsYZr3 structure.

Unit cell a=5.310 b=5.310 c=5.310 alpha=90.00 beta=90.00 gamma=90.00
Positions (direct):
Cs 0.000 0.000 0.000
Y 0.500 0.500 0.500
Zr 0.000 0.000 0.500
Zr 0.000 0.500 0.000
Zr 0.500 0.000 0.000

formation energy	1.5771	eV per atom
distance to the lowest polymorph of the same formula	0.061	eV/atom
SG	Pm-3m

=====

Record 4
The following is a DFT calculation (PBE) of a geometry-optimized Rb3Hg2Br5Cl2 structure.

Unit cell a=14.205 b=14.205 c=14.205 alpha=156.93 beta=156.93 gamma=32.86
Positions (direct):
Rb 0.000 0.000 0.000
Rb 0.180 0.180 0.000
Rb 0.820 0.820 0.000
Hg 0.395 0.395 0.000
Hg 0.605 0.605 0.000
Br 0.098 0.598 0.500
Br 0.402 0.902 0.500
Br 0.500 0.500 0.000
Br 0.598 0.098 0.500
Br 0.902 0.402 0.500
Cl 0.300 0.300 0.000
Cl 0.700 0.700 0.000

SG	I4/mmm

=====

Record 5
The following is a DFT calculation (PBE) of a geometry-optimized Pb2C structure.

Unit cell a=4.731 b=4.731 c=6.608 alpha=90.00 beta=90.00 gamma=90.00
Positions (direct):
Pb 0.250 0.250 0.023
Pb 0.250 0.750 0.500
Pb 0.750 0.250 0.500
Pb 0.750 0.750 0.977
C 0.250 0.250 0.380
C 0.750 0.750 0.620

formation energy	1.2149	eV per atom
distance to the lowest polymorph of the same formula	0.171	eV/atom
SG	P4/nmm

=====

Record 6
The following is a DFT calculation (PBE) of a geometry-optimized Pr7DyMg2 structure.

Unit cell a=9.538 b=9.538 c=5.383 alpha=90.00 beta=90.00 gamma=123.85
Positions (direct):
Pr 0.000 0.000 0.000
Pr 0.201 0.430 0.000
Pr 0.287 0.713 0.500
Pr 0.430 0.201 0.000
Pr 0.570 0.799 0.000
Pr 0.713 0.287 0.500
Pr 0.799 0.570 0.000
Dy 0.500 0.500 0.500
Mg 0.201 0.799 0.000
Mg 0.799 0.201 0.000

formation energy	0.5037	eV per atom
SG	Cmmm

=====

Record 7
The following is a DFT calculation (PBE) of a geometry-optimized LaTi2NiI structure.

Unit cell a=4.684 b=4.684 c=5.540 alpha=90.00 beta=90.00 gamma=90.00
Positions (direct):
La 0.000 0.000 0.000
Ti 0.000 0.500 0.500
Ti 0.500 0.000 0.500
Ni 0.500 0.500 0.500
I 0.500 0.500 0.000

SG	P4/mmm

=====

Record 8
The following is a DFT calculation (PBE) of a geometry-optimized PrRh structure.

Unit cell a=4.130 b=4.130 c=4.130 alpha=60.00 beta=60.00 gamma=60.00
Positions (direct):
Pr 0.000 0.000 0.000
Rh 0.500 0.500 0.500

formation energy	-0.4810	eV per atom
SG	Fm-3m

=====

Number 1: DOS(E_F) 9.1 states/eV per cell, electronic total energy -6.7419 eV/atom. Number 2: DOS(E_F) 22.5 states/eV per cell, electronic total energy -8.8144 eV/atom. Number 3: DOS(E_F) 5.1 states/eV per cell, electronic total energy -5.0154 eV/atom. Number 4: DOS(E_F) 2.3 states/eV per cell, electronic total energy -2.4208 eV/atom. Number 5: DOS(E_F) 3.0 states/eV per cell, electronic total energy -4.3320 eV/atom. Number 6: DOS(E_F) 14.9 states/eV per cell, electronic total energy -3.6211 eV/atom. Number 7: DOS(E_F) 4.4 states/eV per cell, electronic total energy -5.2952 eV/atom. Number 8: DOS(E_F) 0.2 states/eV per cell, electronic total energy -6.5464 eV/atom.